The following is a DFT calculation (PBE-GGA) of Ac2Mg16Ga after structural relaxation.

Results
Calculated density   3.183 g/cm³
Magnetization   0.0 μB/cell
Total DFT energy (no corrections)   -2.03 eV per atom

Unit cell a=10.4034 b=10.4034 c=15.2375 alpha=90.00 beta=90.00 gamma=120.00
Space group R3m (No. 160, hexagonal axes)
Symmetry-distinct sites (fractional):
Ac (0.0000, 0.0000, 0.0000) x3
Ac (0.0000, 0.0000, 0.3410) x3
Mg (0.0000, 0.0000, 0.7559) x3
Mg (0.0001, 0.2976, 0.6692) x18
Mg (0.0028, 0.5014, 0.1694) x9
Mg (0.0060, 0.5030, 0.8232) x9
Mg (0.1688, 0.3375, 0.8488) x9
Ga (0.0000, 0.0000, 0.5657) x3